i) A plane-wave DFT calculation with PBE was carried out for crystalline CeYH2 at its relaxed geometry.

DOS(E_F), states/eV/cell: 4.1

Cell: 3.4225 3.4225 6.4087 Å, 74.51 74.51 60.00°
Positions (direct):
Y  0.6695  0.6695  0.9916
Ce  0.4941  0.4941  0.5178
H  0.2612  0.2612  0.2165
H  0.0753  0.0753  0.7740

=====

ii) A plane-wave DFT calculation with PBE was carried out for crystalline CeYH2 at its relaxed geometry.

DOS(E_F), states/eV/cell: 5.5

Cell: 3.4911 3.4911 6.2008 Å, 73.65 73.65 60.00°
Positions (direct):
H  0.2548  0.2548  0.2357
H  0.7452  0.7452  0.7643
Y  0.0000  0.0000  0.0000
Ce  0.5000  0.5000  0.5000

=====

Quick look at relative energies in eV/atom: i) 0.077; ii) 0.000.

=====

i) A plane-wave DFT calculation with PBE was carried out for crystalline Ce2ZnH at its relaxed geometry.

DOS(E_F), states/eV/cell: 6.9

Cell: 3.1636 3.1636 7.1737 Å, 90.00 90.00 90.00°
Positions (direct):
Zn  0.5000  0.5000  0.5000
H  0.5000  0.5000  0.0000
Ce  0.0000  0.0000  0.8046
Ce  0.0000  0.0000  0.1954

=====

ii) A plane-wave DFT calculation with PBE was carried out for crystalline Ce2ZnH at its relaxed geometry.

DOS(E_F), states/eV/cell: 7.2

Cell: 3.1998 3.1998 8.6398 Å, 79.32 79.32 60.00°
Positions (direct):
Ce  0.2691  0.2691  0.1926
Ce  0.0645  0.0645  0.8062
Zn  0.5000  0.5000  0.5002
H  0.6664  0.6664  0.0010

=====

iii) A plane-wave DFT calculation with PBE was carried out for crystalline Ce2ZnH at its relaxed geometry.

DOS(E_F), states/eV/cell: 7.4

Cell: 3.0908 3.0908 9.7098 Å, 80.84 80.84 60.00°
Positions (direct):
Ce  0.8901  0.8901  0.3296
Ce  0.1099  0.1099  0.6704
H  0.5000  0.5000  0.5000
Zn  0.0000  0.0000  0.0000

=====

Quick look at relative energies in eV/atom: i) 0.024; ii) 0.000; iii) 0.193.

=====

i) A plane-wave DFT calculation with PBE was carried out for crystalline CeZr2H at its relaxed geometry.

DOS(E_F), states/eV/cell: 5.9

Cell: 3.1349 3.1349 8.8893 Å, 79.84 79.84 60.00°
Positions (direct):
Ce  0.0000  0.0000  0.0000
H  0.5000  0.5000  0.5000
Zr  0.8851  0.8851  0.3446
Zr  0.1149  0.1149  0.6554

=====

ii) A plane-wave DFT calculation with PBE was carried out for crystalline CeZr2H at its relaxed geometry.

DOS(E_F), states/eV/cell: 6.4

Cell: 3.0307 3.0307 8.1522 Å, 90.00 90.00 90.00°
Positions (direct):
Ce  0.5000  0.5000  0.5000
Zr  0.0000  0.0000  0.1780
Zr  0.0000  0.0000  0.8220
H  0.5000  0.5000  0.0000

=====

Quick look at relative energies in eV/atom: i) 0.000; ii) 0.222.